No. 1
A geometry-optimized Cs2RbPu3O12 structure. Source: Alexandria, functional GGA-PBE.

Cell: 7.8544 7.8544 7.8544 Å, 61.54 61.54 61.54°
With the nearest neighbours (Å) after each atom.
Fractional positions:
O: 0.2778 0.8968 0.2778  2 Pu 2.12
O: 0.7222 0.1032 0.7222  2 Pu 2.12
O: 0.7222 0.7222 0.1032  2 Pu 2.12
Cs: 0.6098 0.6098 0.6098  6 O 3.15-3.38
O: 0.1189 0.1189 0.5470  1 Pu 1.83
O: 0.8811 0.4530 0.8811  1 Pu 1.83
Pu: 0.5000 0.0000 0.0000  2 O 1.83
O: 0.8968 0.2778 0.2778  2 Pu 2.12
O: 0.1189 0.5470 0.1189  1 Pu 1.83
O: 0.8811 0.8811 0.4530  1 Pu 1.83
Cs: 0.3902 0.3902 0.3902  6 O 3.15-3.38
O: 0.2778 0.2778 0.8968  2 Pu 2.12
O: 0.4530 0.8811 0.8811  1 Pu 1.83
Pu: 0.0000 0.0000 0.5000  2 O 1.83
Pu: 0.0000 0.5000 0.0000  2 O 1.83
O: 0.5470 0.1189 0.1189  1 Pu 1.83
Rb: 0.0000 0.0000 0.0000  6 O 2.98
O: 0.1032 0.7222 0.7222  2 Pu 2.12

Properties
Space-group type   No. 166

=====

No. 2
A geometry-optimized Cs4RbPu3O12 structure. Source: Alexandria, functional GGA-PBE.

Cell: 7.8416 7.8416 7.8416 Å, 109.47 109.47 109.47°
With the nearest neighbours (Å) after each atom.
Fractional positions:
O: 0.0000 0.2960 0.2960  1 Pu 1.85
Cs: 0.5000 0.0000 0.0000  12 O 3.20-3.23
O: 0.7500 0.2500 0.5000  2 Pu 2.26
Cs: 0.5000 0.5000 0.5000  12 O 3.20-3.23
O: 0.2960 0.2960 0.0000  1 Pu 1.85
O: 0.7040 0.0000 0.7040  1 Pu 1.85
O: 0.2960 0.0000 0.2960  1 Pu 1.85
O: 0.7040 0.7040 0.0000  1 Pu 1.85
Cs: 0.0000 0.0000 0.5000  12 O 3.20-3.23
Rb: 0.0000 0.0000 0.0000  6 O 2.68
Pu: 0.5000 0.0000 0.5000  2 O 1.85
O: 0.7500 0.5000 0.2500  2 Pu 2.26
Pu: 0.0000 0.5000 0.5000  2 O 1.85
Pu: 0.5000 0.5000 0.0000  2 O 1.85
O: 0.5000 0.7500 0.2500  2 Pu 2.26
O: 0.0000 0.7040 0.7040  1 Pu 1.85
Cs: 0.0000 0.5000 0.0000  12 O 3.20-3.23
O: 0.5000 0.2500 0.7500  2 Pu 2.26
O: 0.2500 0.7500 0.5000  2 Pu 2.26
O: 0.2500 0.5000 0.7500  2 Pu 2.26

Properties
Space-group type   No. 229

=====

DFT total energy: -146.4, -152.4 (eV/cell)